# 1
Computed, not measured: a relaxed structure of NaNiAgMo at the PBE level of DFT.

Cell lengths 4.414, 4.414, 4.414 Å; angles 60.00, 60.00, 60.00 degrees
Positions (direct):
1 Mo 0.000 0.000 0.000
2 Ag 0.500 0.500 0.500
3 Ni 0.250 0.250 0.250
4 Na 0.750 0.750 0.750

Values from the calculation:
Excess energy over the best structure of this formula in the dataset: 0.000 eV/atom
Space group: F-43m, No. 216



# 2
Computed, not measured: a relaxed structure of NaAgMoPt at the PBE level of DFT.

Cell lengths 4.530, 4.530, 4.530 Å; angles 60.00, 60.00, 60.00 degrees
Positions (direct):
1 Pt 0.250 0.250 0.250
2 Mo 0.000 0.000 0.000
3 Na 0.750 0.750 0.750
4 Ag 0.500 0.500 0.500

Values from the calculation:
Excess energy over the best structure of this formula in the dataset: 0.000 eV/atom
Space group: F-43m, No. 216



# 3
Computed, not measured: a relaxed structure of NaAgMoPt at the PBE level of DFT.

Cell lengths 4.573, 4.573, 4.573 Å; angles 60.00, 60.00, 60.00 degrees
Positions (direct):
1 Na 0.750 0.750 0.750
2 Pt 0.500 0.500 0.500
3 Mo 0.250 0.250 0.250
4 Ag 0.000 0.000 0.000

Values from the calculation:
Excess energy over the best structure of this formula in the dataset: 0.008 eV/atom
Space group: F-43m, No. 216



# 4
Computed, not measured: a relaxed structure of NaAgMoSeS2 at the PBE level of DFT.

Cell lengths 7.077, 7.077, 10.001 Å; angles 90.00, 90.00, 149.90 degrees
Site moments in Bohr magnetons follow the coordinates.
Positions (direct):
1 Na 0.744 0.256 0.250  0.01
2 Na 0.256 0.744 0.750  0.01
3 Mo 0.500 0.500 0.000  1.84
4 Mo 0.500 0.500 0.500  1.85
5 Se 0.584 0.416 0.750  -0.09
6 Se 0.416 0.584 0.250  -0.09
7 S 0.124 0.876 0.027  -0.02
8 S 0.124 0.876 0.473  -0.02
9 S 0.876 0.124 0.527  -0.02
10 S 0.876 0.124 0.973  -0.02
11 Ag 0.058 0.942 0.250  0.02
12 Ag 0.942 0.058 0.750  0.02

Values from the calculation:
Raw total energy: -4.820 eV/atom
Space group: Cmcm, No. 63



Q: Which calculated volume values were calculated for the entries above? A: 60.8 65.7 67.6 125.6, in Å³/f.u..